#1
Computed, not measured: a relaxed structure of MnNbTe4 at the PBE-GGA level of DFT.

a b c (Å): 3.7134 6.5161 7.1585
angles (deg): 89.81 90.00 90.00
Site moments in Bohr magnetons follow the coordinates.
Element x y z (fractional)
Te  0.0000  0.6794  0.2459  -0.06
Nb  0.5000  0.5000  0.0000  0.04
Mn  0.0000  0.0000  0.0000  3.14
Te  0.0000  0.3206  0.7541  -0.06
Te  0.5000  0.1577  0.2359  -0.05
Te  0.5000  0.8423  0.7641  -0.05

Computed properties:
SG: No. 10

#2
Computed, not measured: a relaxed structure of MnNbTe4 at the PBE-GGA level of DFT.

a b c (Å): 6.1078 6.5775 8.9904
angles (deg): 112.09 110.53 88.28
Site moments in Bohr magnetons follow the coordinates.
Element x y z (fractional)
Te  0.3354  0.4847  0.6095  -0.11
Mn  0.9450  0.1950  0.3901  3.26
Te  0.6646  0.5153  0.3905  -0.11
Nb  0.2975  0.5475  0.0950  -0.07
Te  0.3798  0.1461  0.8814  -0.04
Te  0.2258  0.8751  0.3905  -0.11
Te  0.9984  0.2647  0.1186  -0.04
Te  0.6202  0.8540  0.1186  -0.04
Te  0.7742  0.1249  0.6095  -0.11
Mn  0.0550  0.8050  0.6099  3.26
Nb  0.7025  0.4525  0.9050  -0.07
Te  0.0016  0.7353  0.8814  -0.04

Computed properties:
SG: No. 15

#1 wins, 61 meV/atom ahead of the next structure.

#1
Computed, not measured: a relaxed structure of MnNbTe3 at the PBE-GGA level of DFT.

a b c (Å): 5.4157 5.4157 5.4157
angles (deg): 90.00 90.00 90.00
Site moments in Bohr magnetons follow the coordinates.
Element x y z (fractional)
Te  0.0000  0.0000  0.5000  -0.04
Te  0.0000  0.5000  0.0000  -0.01
Nb  0.0000  0.0000  0.0000  -0.20
Mn  0.5000  0.5000  0.5000  -4.61
Te  0.5000  0.0000  0.0000  0.02

Computed properties:
SG: No. 221

#2
Computed, not measured: a relaxed structure of MnNbTe3 at the PBE-GGA level of DFT.

a b c (Å): 5.7314 7.6740 7.6772
angles (deg): 72.15 113.49 113.52
Site moments in Bohr magnetons follow the coordinates.
Element x y z (fractional)
Mn  0.7417  0.3231  0.0202  2.07
Mn  0.7429  0.5813  0.7620  2.07
Nb  0.8009  0.2636  0.7017  -0.24
Te  0.5508  0.8500  0.7000  -0.03
Te  0.9355  0.6445  0.4932  -0.03
Te  0.9339  0.0543  0.0822  -0.03
Te  0.1641  0.6264  0.0659  -0.03
Nb  0.6838  0.6407  0.0806  -0.24
Te  0.3206  0.2780  0.7163  -0.03
Te  0.5492  0.2599  0.2890  -0.03

Computed properties:
SG: No. 2

#2 wins, 615 meV/atom ahead of the next structure.

#1
Computed, not measured: a relaxed structure of TiMnNb2 at the PBE-GGA level of DFT.

a b c (Å): 3.1659 4.4656 4.4656
angles (deg): 90.00 90.00 90.00
Element x y z (fractional)
Nb  0.0000  0.0000  0.5000
Ti  0.5000  0.0000  0.0000
Mn  0.5000  0.5000  0.5000
Nb  0.0000  0.5000  0.0000

Computed properties:
SG: No. 123

#2
Computed, not measured: a relaxed structure of TiMnNb2 at the PBE-GGA level of DFT.

a b c (Å): 3.1053 3.1053 6.6321
angles (deg): 90.00 90.00 90.00
Element x y z (fractional)
Ti  0.5000  0.5000  0.5000
Nb  0.0000  0.0000  0.7711
Nb  0.0000  0.0000  0.2289
Mn  0.5000  0.5000  0.0000

Computed properties:
SG: No. 123

#2 wins, 58 meV/atom ahead of the next structure.

#1
Computed, not measured: a relaxed structure of TiMnNb2 at the PBE-GGA level of DFT.

a b c (Å): 7.0757 7.0757 5.6915
angles (deg): 51.57 51.57 90.00
Element x y z (fractional)
Nb  0.6606  0.1250  0.2500
Nb  0.8750  0.9106  0.7500
Mn  0.7500  0.2500  0.5000
Ti  0.2500  0.7500  0.5000
Ti  0.5000  0.5000  0.0000
Nb  0.3750  0.3394  0.7500
Nb  0.0894  0.6250  0.2500
Mn  0.0000  0.0000  0.0000

Computed properties:
SG: No. 122

#2
Computed, not measured: a relaxed structure of TiMnNb2 at the PBE-GGA level of DFT.

a b c (Å): 4.3706 4.3706 7.3535
angles (deg): 107.37 107.37 89.96
Element x y z (fractional)
Nb  0.1374  0.1374  0.7742
Ti  0.6412  0.6412  0.7821
Mn  0.2499  0.7501  0.0000
Ti  0.3588  0.3588  0.2179
Nb  0.5000  0.0000  0.5000
Nb  0.8626  0.8626  0.2258
Nb  0.0000  0.5000  0.5000
Mn  0.7501  0.2499  0.0000

Computed properties:
SG: No. 12

#2 wins, 471 meV/atom ahead of the next structure.